# Ca2TcPbN (PBE, optimized geometry)
data_Ca2TcPbN
_chemical_formula_sum 'Ca2 Tc1 Pb1 N1'
_cell_length_a 5.099
_cell_length_b 5.099
_cell_length_c 3.934
_cell_angle_alpha 90.00
_cell_angle_beta 90.00
_cell_angle_gamma 90.00
_space_group_name_H-M_alt 'P 1'
_space_group_IT_number 1
loop_
_space_group_symop_operation_xyz
'x,y,z'
loop_
_atom_site_label
_atom_site_type_symbol
_atom_site_fract_x
_atom_site_fract_y
_atom_site_fract_z
Pb1 Pb 0.500 0.500 0.500
Ca1 Ca 0.000 0.500 0.000
Ca2 Ca 0.500 0.000 0.000
Tc1 Tc 0.000 0.000 0.500
N1 N 0.000 0.000 0.000
# Space-group type ... P4/mmm
# Total energy ... -5.71 eV per atom
# Formation energy (no corrections) ... -0.43 eV/atom
# DOS(E_F) ... 3.08 states/eV/f.u.